Record 1
DFT (PBE) results for a relaxed AgPd7Se2 crystal.

Cell: 4.077 4.077 10.731 Å, 100.95 100.95 90.00°
Atoms (fractional coordinates):
Pd 0.597 0.097 0.194
Se 0.670 0.670 0.339
Ag 0.000 0.000 0.000
Pd 0.250 0.750 0.500
Pd 0.903 0.403 0.806
Pd 0.750 0.250 0.500
Pd 0.500 0.500 0.000
Pd 0.097 0.597 0.194
Se 0.330 0.330 0.661
Pd 0.403 0.903 0.806

Values from the calculation:
DOS at the Fermi energy: 0.716 states/eV per atom
E_tot: -47.21 eV for the cell shown
formation energy from raw total energies: -0.104 eV per atom

***

Record 2
DFT (PBE) results for a relaxed SnI crystal.

Cell: 16.069 4.223 6.440 Å, 90.00 90.00 90.00°
Atoms (fractional coordinates):
I 0.208 0.500 0.191
I 0.708 0.000 0.691
Sn 0.500 0.500 0.936
Sn 0.000 0.000 0.436
I 0.292 0.000 0.691
Sn 0.871 0.500 0.605
I 0.792 0.500 0.191
Sn 0.129 0.500 0.605
I 0.500 0.500 0.473
Sn 0.629 0.000 0.105
Sn 0.371 0.000 0.105
I 0.000 0.000 0.973

Values from the calculation:
DOS at the Fermi energy: 0.359 states/eV per atom
E_tot: -35.55 eV for the cell shown
formation energy from raw total energies: -0.186 eV per atom

***

Record 3
DFT (PBE) results for a relaxed Pm3Pr2YEr6 crystal.

Cell: 6.217 6.217 11.793 Å, 95.02 95.02 119.98°
Atoms (fractional coordinates):
Pm 0.500 0.500 0.500
Pr 0.666 0.334 0.000
Pm 0.833 0.167 0.500
Y 0.000 0.000 0.000
Pr 0.334 0.666 0.000
Er 0.249 0.249 0.749
Er 0.751 0.751 0.251
Pm 0.167 0.833 0.500
Er 0.417 0.084 0.251
Er 0.916 0.583 0.749
Er 0.084 0.417 0.251
Er 0.583 0.916 0.749

Values from the calculation:
DOS at the Fermi energy: 1.150 states/eV per atom
ΔE_f: 16 meV per atom
E_tot: -57.46 eV for the cell shown

***

Record 4
DFT (PBE) results for a relaxed MgBe2V crystal.

Cell: 4.668 3.446 6.574 Å, 90.00 99.08 90.00°
Atoms (fractional coordinates):
V 0.122 0.750 0.126
Be 0.259 0.750 0.791
V 0.878 0.250 0.874
Be 0.741 0.250 0.209
Be 0.621 0.750 0.039
Mg 0.751 0.750 0.503
Be 0.379 0.250 0.961
Mg 0.249 0.250 0.497

Values from the calculation:
DOS at the Fermi energy: 0.530 states/eV per atom
ΔE_f: 140 meV per atom
E_tot: -35.21 eV for the cell shown

***

Record 5
DFT (PBE) results for a relaxed AgBi3B crystal.

Cell: 5.513 5.513 5.513 Å, 90.00 90.00 90.00°
Atoms (fractional coordinates):
Ag 0.000 0.000 0.000
Bi 0.000 0.500 0.000
Bi 0.000 0.000 0.500
B 0.500 0.500 0.500
Bi 0.500 0.000 0.000

Values from the calculation:
DOS at the Fermi energy: 0.633 states/eV per atom
energy relative to the lowest polymorph listed for this composition: 649 meV/atom
ΔE_f: 1450 meV per atom
E_tot: -13.92 eV for the cell shown

***

Record 6
DFT (PBE) results for a relaxed Zr2Sc2Al crystal.

Cell: 7.409 7.409 4.071 Å, 90.00 90.00 90.00°
Atoms (fractional coordinates):
Zr 0.651 0.849 0.500
Sc 0.147 0.353 0.000
Zr 0.849 0.349 0.500
Zr 0.151 0.651 0.500
Al 0.000 0.000 0.000
Sc 0.853 0.647 0.000
Al 0.500 0.500 0.000
Sc 0.353 0.853 0.000
Sc 0.647 0.147 0.000
Zr 0.349 0.151 0.500

Values from the calculation:
DOS at the Fermi energy: 1.035 states/eV per atom
energy relative to the lowest polymorph listed for this composition: 19 meV/atom
ΔE_f: 51 meV per atom
E_tot: -66.50 eV for the cell shown

***

Record 7
DFT (PBE) results for a relaxed SbHN2O crystal.

Cell: 4.178 4.178 3.953 Å, 90.00 90.00 90.00°
Each line ends with the local moment (μB).
Atoms (fractional coordinates):
H 0.500 0.500 0.500  0.36
O 0.000 0.000 0.500  0.21
N 0.000 0.500 0.000  0.99
N 0.500 0.000 0.000  0.99
Sb 0.000 0.000 0.000  -0.05

Values from the calculation:
DOS at the Fermi energy: 0.425 states/eV per atom
E_tot: -21.77 eV for the cell shown

***

Record 8
DFT (PBE) results for a relaxed Ac8As3P3O crystal.

Cell: 8.812 8.812 8.849 Å, 119.86 90.00 120.00°
Atoms (fractional coordinates):
Ac 0.241 0.005 0.268
P 0.000 0.500 0.500
P 0.500 0.000 0.500
Ac 0.236 0.473 0.732
Ac 0.763 0.005 0.268
As 0.500 0.500 0.000
O 0.000 0.000 0.500
Ac 0.764 0.527 0.268
As 0.000 0.000 0.000
Ac 0.759 0.995 0.732
Ac 0.252 0.504 0.256
Ac 0.237 0.995 0.732
P 0.500 0.500 0.500
As 0.000 0.500 0.000
Ac 0.748 0.496 0.744

Values from the calculation:
DOS at the Fermi energy: 0.556 states/eV per atom
E_tot: -89.66 eV for the cell shown
formation energy from raw total energies: -1.444 eV per atom

***

Record 9
DFT (PBE) results for a relaxed BaMg14Si crystal.

Cell: 6.761 6.761 10.381 Å, 90.00 90.00 124.02°
Atoms (fractional coordinates):
Mg 0.171 0.322 0.759
Mg 0.160 0.840 0.233
Mg 0.332 0.668 0.000
Mg 0.686 0.314 0.715
Mg 0.823 0.659 0.000
Mg 0.160 0.840 0.767
Mg 0.678 0.829 0.759
Ba 0.310 0.690 0.500
Mg 0.815 0.699 0.500
Mg 0.341 0.177 0.000
Mg 0.686 0.314 0.285
Mg 0.826 0.174 0.000
Mg 0.171 0.322 0.241
Mg 0.301 0.185 0.500
Mg 0.678 0.829 0.241
Si 0.863 0.137 0.500

Values from the calculation:
DOS at the Fermi energy: 0.599 states/eV per atom
energy relative to the lowest polymorph listed for this composition: 0 meV/atom
E_tot: -28.75 eV for the cell shown
formation energy from raw total energies: 0.057 eV per atom

***

Record 10
DFT (PBE) results for a relaxed NaZr3Te6Pd2 crystal.

Cell: 4.296 8.580 9.992 Å, 109.93 102.41 90.00°
Atoms (fractional coordinates):
Te 0.658 0.597 0.316
Pd 0.097 0.074 0.193
Te 0.342 0.403 0.684
Te 0.996 0.734 0.992
Na 0.500 0.000 0.000
Te 0.318 0.895 0.636
Te 0.682 0.105 0.364
Te 0.004 0.266 0.008
Zr 0.500 0.500 0.000
Pd 0.903 0.926 0.807
Zr 0.162 0.833 0.325
Zr 0.838 0.167 0.675

Values from the calculation:
DOS at the Fermi energy: 0.384 states/eV per atom
E_tot: -64.74 eV for the cell shown
formation energy from raw total energies: -0.712 eV per atom

***

Record 11
DFT (PBE) results for a relaxed Ce3AlAs4 crystal.

Cell: 5.885 5.885 5.885 Å, 90.00 90.00 90.00°
Each line ends with the local moment (μB).
Atoms (fractional coordinates):
Ce 0.000 0.500 0.500  0.61
As 0.000 0.500 0.000  -0.02
Ce 0.500 0.000 0.500  0.61
Ce 0.500 0.500 0.000  0.61
As 0.000 0.000 0.500  -0.02
As 0.500 0.500 0.500  -0.03
Al 0.000 0.000 0.000  0.02
As 0.500 0.000 0.000  -0.02

Values from the calculation:
DOS at the Fermi energy: 1.876 states/eV per atom
ΔE_f: -988 meV per atom
E_tot: -48.04 eV for the cell shown

***

Record 12
DFT (PBE) results for a relaxed Li2HBrF crystal.

Cell: 4.798 3.980 4.798 Å, 90.00 90.00 90.00°
Atoms (fractional coordinates):
F 0.500 0.500 0.500
Br 0.000 0.000 0.000
Li 0.000 0.000 0.500
H 0.000 0.500 0.000
Li 0.500 0.000 0.000

Values from the calculation:
DOS at the Fermi energy: 0.057 states/eV per atom
E_tot: -14.87 eV for the cell shown

***

Record 13
DFT (PBE) results for a relaxed SnPtSeN2 crystal.

Cell: 4.034 4.034 5.898 Å, 90.00 90.00 90.00°
Each line ends with the local moment (μB).
Atoms (fractional coordinates):
Se 0.000 0.000 0.500  0.12
Sn 0.000 0.000 0.000  -0.04
Pt 0.500 0.500 0.500  0.48
N 0.500 0.000 0.000  0.90
N 0.000 0.500 0.000  0.90

Values from the calculation:
DOS at the Fermi energy: 0.580 states/eV per atom
energy relative to the lowest polymorph listed for this composition: 424 meV/atom
E_tot: -22.66 eV for the cell shown
formation energy from raw total energies: 1.504 eV per atom

***

Record 14
DFT (PBE) results for a relaxed Y4MnAs crystal.

Cell: 6.234 6.234 6.234 Å, 60.00 60.00 60.00°
Each line ends with the local moment (μB).
Atoms (fractional coordinates):
Y 0.374 0.877 0.374  -0.04
Y 0.374 0.374 0.374  -0.04
Y 0.374 0.374 0.877  -0.04
Y 0.877 0.374 0.374  -0.04
Mn 0.000 0.000 0.000  4.13
As 0.750 0.750 0.750  0.01

Values from the calculation:
DOS at the Fermi energy: 1.439 states/eV per atom
ΔE_f: 566 meV per atom
E_tot: -36.28 eV for the cell shown

***

Record 15
DFT (PBE) results for a relaxed ZrHPdRu2 crystal.

Cell: 4.956 3.169 4.956 Å, 90.00 90.00 90.00°
Each line ends with the local moment (μB).
Atoms (fractional coordinates):
H 0.000 0.500 0.000  0.00
Ru 0.500 0.000 0.000  0.61
Ru 0.000 0.000 0.500  0.93
Pd 0.000 0.000 0.000  0.26
Zr 0.500 0.500 0.500  -0.16

Values from the calculation:
DOS at the Fermi energy: 1.410 states/eV per atom
energy relative to the lowest polymorph listed for this composition: 960 meV/atom
E_tot: -32.40 eV for the cell shown

***

Record 16
DFT (PBE) results for a relaxed TlCd3Ni crystal.

Cell: 5.048 5.048 5.048 Å, 90.00 90.00 90.00°
Atoms (fractional coordinates):
Cd 0.000 0.000 0.500
Tl 0.500 0.500 0.500
Cd 0.500 0.000 0.000
Cd 0.000 0.500 0.000
Ni 0.000 0.000 0.000

Values from the calculation:
DOS at the Fermi energy: 0.556 states/eV per atom
energy relative to the lowest polymorph listed for this composition: 0 meV/atom
ΔE_f: 126 meV per atom
E_tot: -10.26 eV for the cell shown

***

Record 17
DFT (PBE) results for a relaxed CaP2Pt5 crystal.

Cell: 4.080 6.237 6.237 Å, 68.15 70.91 70.91°
Atoms (fractional coordinates):
Ca 0.000 0.000 0.000
P 0.249 0.251 0.251
Pt 0.649 0.145 0.557
Pt 0.649 0.557 0.145
P 0.751 0.749 0.749
Pt 0.000 0.500 0.500
Pt 0.351 0.443 0.855
Pt 0.351 0.855 0.443

Values from the calculation:
DOS at the Fermi energy: 0.626 states/eV per atom
ΔE_f: -648 meV per atom
E_tot: -48.21 eV for the cell shown

***

Record 18
DFT (PBE) results for a relaxed BaMnIn2Te4 crystal.

Cell: 4.557 7.857 15.971 Å, 90.00 90.00 106.86°
Each line ends with the local moment (μB).
Atoms (fractional coordinates):
Mn 0.156 0.313 0.250  4.08
In 0.376 0.751 0.945  0.00
Te 0.737 0.473 0.884  0.04
Te 0.000 0.000 0.500  0.02
In 0.624 0.249 0.055  0.00
Te 0.557 0.113 0.250  0.03
Te 0.263 0.527 0.116  0.04
Mn 0.844 0.687 0.750  4.08
Te 0.443 0.887 0.750  0.03
Te 0.000 0.000 0.000  0.02
Te 0.737 0.473 0.616  0.04
In 0.376 0.751 0.555  0.00
In 0.624 0.249 0.445  0.00
Ba 0.878 0.756 0.250  0.02
Te 0.263 0.527 0.384  0.04
Ba 0.122 0.244 0.750  0.02

Values from the calculation:
DOS at the Fermi energy: 0.275 states/eV per atom
E_tot: -67.18 eV for the cell shown
formation energy from raw total energies: -0.557 eV per atom

***

Record 19
DFT (PBE) results for a relaxed GaBr2Cl crystal.

Cell: 8.882 8.882 8.882 Å, 30.10 30.10 30.10°
Atoms (fractional coordinates):
Br 0.913 0.913 0.913
Ga 0.000 0.000 0.000
Br 0.087 0.087 0.087
Cl 0.500 0.500 0.500

Values from the calculation:
DOS at the Fermi energy: 0.000 states/eV per atom
energy relative to the lowest polymorph listed for this composition: 861 meV/atom
E_tot: -8.41 eV for the cell shown
formation energy from raw total energies: -0.048 eV per atom

***

Record 20
DFT (PBE) results for a relaxed Al3Cd5In12 crystal.

Cell: 14.573 14.573 14.573 Å, 109.47 109.47 109.47°
Atoms (fractional coordinates):
In 0.433 0.068 0.332
In 0.068 0.634 0.736
In 0.568 0.332 0.933
Cd 0.625 0.750 0.875
Cd 0.125 0.375 0.250
Cd 0.250 0.875 0.125
Cd 0.500 0.500 0.500
In 0.432 0.764 0.866
In 0.332 0.764 0.399
Al 0.875 0.125 0.250
Al 0.625 0.250 0.375
Al 0.250 0.625 0.875
Cd 0.000 0.500 0.500
Cd 0.125 0.750 0.375
In 0.264 0.399 0.832
Al 0.375 0.750 0.625
In 0.736 0.601 0.168
In 0.332 0.568 0.433
In 0.764 0.332 0.899
Cd 0.000 0.500 0.000
Cd 0.000 0.000 0.500
In 0.567 0.634 0.399
In 0.866 0.264 0.432
In 0.568 0.236 0.134
Al 0.375 0.625 0.250
In 0.101 0.168 0.236
Cd 0.875 0.250 0.625
Cd 0.750 0.625 0.375
In 0.264 0.866 0.932
Cd 0.500 0.000 0.500
In 0.932 0.366 0.264
In 0.832 0.933 0.068
Cd 0.250 0.375 0.625
Cd 0.500 0.500 0.000
Al 0.750 0.375 0.125
In 0.668 0.236 0.601
Cd 0.375 0.125 0.750
In 0.899 0.067 0.634
In 0.634 0.567 0.899
In 0.764 0.432 0.366
In 0.068 0.433 0.832
In 0.236 0.668 0.101
Al 0.125 0.250 0.875
Al 0.625 0.375 0.750
In 0.601 0.736 0.668
In 0.832 0.899 0.264
In 0.168 0.101 0.736
In 0.432 0.668 0.067
In 0.933 0.832 0.568
In 0.567 0.932 0.668
In 0.134 0.736 0.568
In 0.067 0.899 0.134
In 0.932 0.567 0.168
In 0.668 0.432 0.567
Cd 0.625 0.875 0.250
In 0.168 0.067 0.932
In 0.366 0.932 0.764
In 0.634 0.068 0.236
In 0.433 0.366 0.601
Cd 0.375 0.250 0.125
Cd 0.750 0.125 0.875
In 0.134 0.399 0.067
In 0.601 0.866 0.433
In 0.933 0.101 0.866
Al 0.875 0.750 0.125
Cd 0.875 0.625 0.750
In 0.067 0.168 0.432
In 0.899 0.832 0.764
Cd 0.000 0.000 0.000
Al 0.125 0.875 0.750
In 0.399 0.134 0.567
In 0.736 0.134 0.068
Al 0.250 0.125 0.375
In 0.236 0.568 0.634
In 0.399 0.264 0.332
In 0.866 0.601 0.933
In 0.366 0.433 0.101
Al 0.750 0.875 0.625
Cd 0.500 0.000 0.000
In 0.101 0.933 0.366

Values from the calculation:
DOS at the Fermi energy: 0.551 states/eV per atom
ΔE_f: 211 meV per atom
E_tot: -177.75 eV for the cell shown